Entry 1:
The following is a GGA-PBEsol calculation of crystalline KSbAu2 at its relaxed geometry, from Alexandria via LeMat-Bulk.

Its raw formation energy is -0.173 eV per atom. The calculated volume comes out at 33.56 Å³ per atom.

It has space group I-42d (No. 122), with a = 5.5071 Å, b = 5.5071 Å, c = 17.7054 Å, α = 90.00°, β = 90.00° and γ = 90.00°. The asymmetric unit holds K at (0.0000, 0.0000, 0.0000), Sb at (0.0000, 0.0000, 0.5000) and Au at (0.0010, 0.2500, 0.6250).

***

Entry 2:
The following is a GGA-PBEsol calculation of crystalline KSb3Au at its relaxed geometry, from Alexandria via LeMat-Bulk.

Its raw formation energy is 0.215 eV per atom. The calculated volume comes out at 32.38 Å³ per atom.

It has space group Pm-3m (No. 221), with a = 5.4505 Å, b = 5.4505 Å, c = 5.4505 Å, α = 90.00°, β = 90.00° and γ = 90.00°. The asymmetric unit holds K at (0.0000, 0.0000, 0.0000), Sb at (0.0000, 0.5000, 0.5000) and Au at (0.5000, 0.5000, 0.5000).

***

Entry 3:
The following is a GGA-PBEsol calculation of crystalline KSbAu2 at its relaxed geometry, from Alexandria via LeMat-Bulk.

Its raw formation energy is -0.203 eV per atom. The calculated volume comes out at 28.26 Å³ per atom.

It has space group R-3m (No. 166, hexagonal axes), with a = 4.7692 Å, b = 4.7692 Å, c = 17.2160 Å, α = 90.00°, β = 90.00° and γ = 120.00°. The asymmetric unit holds K at (0.0000, 0.0000, 0.0000), Sb at (0.0000, 0.0000, 0.5000) and Au at (0.0000, 0.0000, 0.1921).

***

Entry 4:
The following is a GGA-PBEsol calculation of crystalline KScAu2 at its relaxed geometry, from Alexandria via LeMat-Bulk.

Its energy relative to the lowest polymorph listed for this composition is 0.0000 eV/atom. The calculated volume comes out at 23.23 Å³ per atom. The formation enthalpy at 0 K comes out at -0.480 eV/atom.

It has space group P4/mmm (No. 123), with a = 3.4162 Å, b = 3.4162 Å, c = 7.9611 Å, α = 90.00°, β = 90.00° and γ = 90.00°. The asymmetric unit holds K at (0.0000, 0.0000, 0.0000), Sc at (0.0000, 0.0000, 0.5000) and Au at (0.5000, 0.5000, 0.3163).

***

Entry 5:
The following is a GGA-PBEsol calculation of crystalline KScAu2 at its relaxed geometry, from Alexandria via LeMat-Bulk.

Its energy relative to the lowest polymorph listed for this composition is 0.3442 eV/atom. The calculated volume comes out at 21.49 Å³ per atom. The formation enthalpy at 0 K comes out at -0.136 eV/atom.

It has space group Immm (No. 71), with a = 4.9523 Å, b = 4.9592 Å, c = 7.0010 Å, α = 90.00°, β = 90.00° and γ = 90.00°. The asymmetric unit holds K at (0.0000, 0.0000, 0.0000), Sc at (0.0000, 0.0000, 0.5000) and Au at (0.0000, 0.5000, 0.2495).

***

Entry 6:
The following is a GGA-PBEsol calculation of crystalline K2AuSe at its relaxed geometry, from Alexandria via LeMat-Bulk.

Its raw formation energy is -0.364 eV per atom. The calculated volume comes out at 25.82 Å³ per atom.

It has space group F-43m (No. 216), with a = 7.4480 Å, b = 7.4480 Å, c = 7.4480 Å, α = 90.00°, β = 90.00° and γ = 90.00°. The asymmetric unit holds K at (0.0000, 0.0000, 0.0000), K at (0.2500, 0.2500, 0.2500), Au at (0.2500, 0.2500, 0.7500) and Se at (0.0000, 0.0000, 0.5000).

***

Entry 7:
The following is a GGA-PBEsol calculation of crystalline K2Au2Se at its relaxed geometry, from Alexandria via LeMat-Bulk.

Its raw formation energy is -0.435 eV per atom. The calculated volume comes out at 30.06 Å³ per atom.

It has space group I4/mmm (No. 139), with a = 6.3400 Å, b = 6.3400 Å, c = 7.4779 Å, α = 90.00°, β = 90.00° and γ = 90.00°. The asymmetric unit holds K at (0.0000, 0.5000, 0.2500), Au at (0.0000, 0.0000, 0.1687) and Se at (0.0000, 0.0000, 0.5000).

***

Entry 8:
The following is a GGA-PBEsol calculation of crystalline KAu2Se at its relaxed geometry, from Alexandria via LeMat-Bulk.

Its raw formation energy is -0.023 eV per atom. The calculated volume comes out at 22.56 Å³ per atom.

It has space group P4mm (No. 99), with a = 3.4849 Å, b = 3.4849 Å, c = 7.4302 Å, α = 90.00°, β = 90.00° and γ = 90.00°. The asymmetric unit holds K at (0.0000, 0.0000, 0.0000), Au at (0.0000, 0.0000, 0.5068), Au at (0.5000, 0.5000, 0.6768) and Se at (0.5000, 0.5000, 0.3014).

***

Entry 9:
The following is a GGA-PBEsol calculation of crystalline KAuSe4 at its relaxed geometry, from Alexandria via LeMat-Bulk.

Its raw formation energy is 0.162 eV per atom. The calculated volume comes out at 22.42 Å³ per atom.

It has space group F-43m (No. 216), with a = 8.1341 Å, b = 8.1341 Å, c = 8.1341 Å, α = 90.00°, β = 90.00° and γ = 90.00°. The asymmetric unit holds K at (0.0000, 0.0000, 0.0000), Au at (0.2500, 0.2500, 0.2500) and Se at (0.1233, 0.1233, 0.6233).

***

Entry 10:
The following is a GGA-PBEsol calculation of crystalline K3AuSe13 at its relaxed geometry, from Alexandria via LeMat-Bulk.

Its raw formation energy is -0.368 eV per atom. The calculated volume comes out at 27.95 Å³ per atom.

It has space group P2/c (No. 13), with a = 14.6004 Å, b = 4.9471 Å, c = 13.1910 Å, α = 90.00°, β = 94.06° and γ = 90.00°. The asymmetric unit holds K at (0.0000, 0.1754, 0.2500), K at (0.2718, 0.1969, 0.1527), Au at (0.5000, 0.0000, 0.0000), Se at (0.0641, 0.3183, 0.5830), Se at (0.1415, 0.0797, 0.4555), Se at (0.1520, 0.3055, 0.7415), Se at (0.2654, 0.3713, 0.4144), Se at (0.3802, 0.3148, 0.5516), Se at (0.4064, 0.1030, 0.8398) and Se at (0.5000, 0.3963, 0.7500).

***

Entry 11:
The following is a GGA-PBEsol calculation of crystalline K3AuSe at its relaxed geometry, from Alexandria via LeMat-Bulk.

Its raw formation energy is -0.323 eV per atom. The calculated volume comes out at 40.60 Å³ per atom.

It has space group Pm-3m (No. 221), with a = 5.8770 Å, b = 5.8770 Å, c = 5.8770 Å, α = 90.00°, β = 90.00° and γ = 90.00°. The asymmetric unit holds K at (0.0000, 0.0000, 0.5000), Au at (0.0000, 0.0000, 0.0000) and Se at (0.5000, 0.5000, 0.5000).

***

Entry 12:
The following is a GGA-PBEsol calculation of crystalline K2AuSe at its relaxed geometry, from Alexandria via LeMat-Bulk.

Its raw formation energy is -0.200 eV per atom. The calculated volume comes out at 35.43 Å³ per atom.

It has space group P4/mmm (No. 123), with a = 4.6352 Å, b = 4.6352 Å, c = 6.5956 Å, α = 90.00°, β = 90.00° and γ = 90.00°. The asymmetric unit holds K at (0.0000, 0.0000, 0.0000), K at (0.5000, 0.5000, 0.5000), Au at (0.0000, 0.0000, 0.5000) and Se at (0.5000, 0.5000, 0.0000).